(1)
5
Lattice="4.590 0.000 0.000 0.000 4.590 0.000 0.000 0.000 4.590" Properties=species:S:1:pos:R:3 comment="VGa3Cu PBE optimized geometry" e_form_ev_per_atom=0.561 magmom_total_mub_per_cell=3.26 e_above_lowest_polymorph_mev_per_atom=0 vol_a3_per_atom=19.33 dft_energy_ev_per_atom=-3.898 pbc="T T T"
V 0.000 0.000 0.000
Ga 0.000 2.295 2.295
Ga 2.295 0.000 2.295
Ga 2.295 2.295 0.000
Cu 2.295 2.295 2.295

(2)
5
Lattice="4.425 0.000 0.000 0.000 4.425 0.000 0.000 0.000 4.425" Properties=species:S:1:pos:R:3 comment="VGaCu3 PBE optimized geometry" e_form_ev_per_atom=0.785 magmom_total_mub_per_cell=3.13 e_above_lowest_polymorph_mev_per_atom=0 vol_a3_per_atom=17.33 dft_energy_ev_per_atom=-4.102 pbc="T T T"
V 0.000 0.000 0.000
Ga 2.213 2.213 2.213
Cu 0.000 2.213 2.213
Cu 2.213 0.000 2.213
Cu 2.213 2.213 0.000

(3)
9
Lattice="5.002 -2.728 0.000 5.002 2.728 0.000 -0.279 0.000 4.781" Properties=species:S:1:pos:R:3 comment="V6Ga2Cu PBE optimized geometry" e_form_ev_per_atom=0.184 magmom_total_mub_per_cell=0.00 vol_a3_per_atom=14.50 dft_energy_ev_per_atom=-7.023 pbc="T T T"
V 3.819 1.460 3.973
V 3.019 0.000 0.875
V 5.905 1.460 0.808
V 3.819 -1.460 3.973
V 6.704 0.000 3.906
V 5.905 -1.460 0.808
Ga 1.400 0.000 3.249
Ga 8.324 0.000 1.533
Cu 4.862 0.000 2.391

(4)
4
Lattice="2.695 0.000 0.000 0.000 2.695 0.000 0.000 0.000 7.643" Properties=species:S:1:pos:R:3 comment="VGa2Cu PBE optimized geometry" e_form_ev_per_atom=-0.106 magmom_total_mub_per_cell=0.00 vol_a3_per_atom=13.88 dft_energy_ev_per_atom=-4.924 pbc="T T T"
V 0.000 0.000 0.000
Ga 1.347 1.347 1.931
Ga 1.347 1.347 5.712
Cu 0.000 0.000 3.822

(5)
5
Lattice="4.702 0.000 0.000 0.000 4.702 0.000 0.000 0.000 4.606" Properties=species:S:1:pos:R:3 comment="YVGa2Cu PBE optimized geometry" e_form_ev_per_atom=0.115 magmom_total_mub_per_cell=0.81 vol_a3_per_atom=20.36 dft_energy_ev_per_atom=-5.032 pbc="T T T"
Y 0.000 0.000 0.000
V 2.351 2.351 2.303
Ga 0.000 2.351 2.303
Ga 2.351 0.000 2.303
Cu 2.351 2.351 0.000

(6)
5
Lattice="4.607 0.000 0.000 0.000 4.607 0.000 0.000 0.000 4.386" Properties=species:S:1:pos:R:3 comment="VZnGa2Cu PBE optimized geometry" e_form_ev_per_atom=0.919 magmom_total_mub_per_cell=0.00 vol_a3_per_atom=18.62 dft_energy_ev_per_atom=-3.189 pbc="T T T"
V 0.000 0.000 0.000
Zn 2.303 2.303 2.193
Ga 0.000 2.303 2.193
Ga 2.303 0.000 2.193
Cu 2.303 2.303 0.000

(7)
4
Lattice="0.000 3.036 3.036 3.036 0.000 3.036 3.036 3.036 0.000" Properties=species:S:1:pos:R:3 comment="VZnGaCu PBE optimized geometry" e_form_ev_per_atom=0.034 magmom_total_mub_per_cell=2.00 vol_a3_per_atom=13.99 dft_energy_ev_per_atom=-4.345 pbc="T T T"
V 0.000 0.000 0.000
Zn 4.553 4.553 4.553
Ga 1.518 1.518 1.518
Cu 3.036 3.036 3.036

(8)
4
Lattice="0.000 3.098 3.098 3.098 0.000 3.098 3.098 3.098 0.000" Properties=species:S:1:pos:R:3 comment="Ga2CuW PBE optimized geometry" e_form_ev_per_atom=0.383 magmom_total_mub_per_cell=0.00 e_above_lowest_polymorph_mev_per_atom=283 vol_a3_per_atom=14.86 dft_energy_ev_per_atom=-5.393 pbc="T T T"
Ga 1.549 1.549 1.549
Ga 4.647 4.647 4.647
Cu 0.000 0.000 0.000
W 3.098 3.098 3.098